NbNi3C | Alexandria | PBE | optimized geometry; energy above the lowest structure with this stoichiometry = 0.000 eV per formula unit; energy = -7.13 eV per atom; ΔE_f = 0.201 eV per atom; space-group type = Pm-3m (221); volume = 57 Å³/cell
1.0
3.8519 0.0000 0.0000
0.0000 3.8519 0.0000
0.0000 0.0000 3.8519
Ni C Nb
3 1 1
direct
0.0000 0.5000 0.0000
0.5000 0.0000 0.0000
0.0000 0.0000 0.5000
0.0000 0.0000 0.0000
0.5000 0.5000 0.5000